{"formula": "CoP2O2", "functional": "PBE with a Hubbard U", "state": "relaxed", "dft_energy_ev_per_atom": -5.546, "crystal_system": "tetragonal", "lattice": [[3.3878, 0.0000, 0.0000], [0.0000, 3.3878, 0.0000], [0.0000, 0.0000, 4.9848]], "species": ["Co", "P", "P", "O", "O"], "frac_coords": [[0.0000, 0.0000, 0.0000], [0.5000, 0.5000, 0.0000], [0.5000, 0.5000, 0.5000], [0.0000, 0.5000, 0.5000], [0.5000, 0.0000, 0.5000]]}